1.
## TmNi4C2 (PBE)

Data for crystalline TmNi4C2 at its relaxed geometry.

Values from the calculation:
**Calculated total energy**: -6.64 eV per atom
**Magnetization**: 0.00 μB/cell
**Theoretical density**: 9.2 g/cm3
**Crystal system**: orthorhombic
**Formation enthalpy at 0 K**: -0.4 eV/f.u.
**Fermi-level density of states**: 4.5 states/eV/cell
**Space-group type**: Cmmm, No. 65

a b c (Å): 6.628 6.628 3.481
angles (deg): 90.00 90.00 149.67
Positions (direct):
Tm1 0.000 0.000 0.000
Ni1 0.175 0.825 0.500
Ni2 0.327 0.673 0.000
Ni3 0.673 0.327 0.000
Ni4 0.825 0.175 0.500
C1 0.392 0.608 0.500
C2 0.608 0.392 0.500

---

2.
## TmNi7C2 (PBE)

Data for crystalline TmNi7C2 at its relaxed geometry.

Values from the calculation:
**Calculated total energy**: -6.28 eV per atom
**Magnetization**: 0.00 μB/cell
**Theoretical density**: 8.4 g/cm3
**Crystal system**: orthorhombic
**Formation enthalpy at 0 K**: 0.6 eV/f.u.
**Fermi-level density of states**: 9.1 states/eV/cell
**Space-group type**: Cmmm, No. 65

a b c (Å): 5.935 5.935 3.840
angles (deg): 90.00 90.00 117.55
Positions (direct):
Tm1 0.000 0.000 0.000
Ni1 0.053 0.338 0.500
Ni2 0.281 0.719 0.000
Ni3 0.338 0.053 0.500
Ni4 0.500 0.500 0.500
Ni5 0.662 0.947 0.500
Ni6 0.719 0.281 0.000
Ni7 0.947 0.662 0.500
C1 0.308 0.692 0.500
C2 0.692 0.308 0.500

---

3.
## U3NiC3 (PBE)

Data for crystalline U3NiC3 at its relaxed geometry.

Values from the calculation:
**Calculated total energy**: -9.65 eV per atom
**Magnetization**: 9.48 μB/cell
**Theoretical density**: 12.5 g/cm3
**Crystal system**: hexagonal
**Formation enthalpy at 0 K**: -0.2 eV/f.u.
**Fermi-level density of states**: 19.7 states/eV/cell
**Space-group type**: P6_3/m, No. 176

a b c (Å): 7.158 7.158 4.825
angles (deg): 90.00 90.00 120.00
Positions (direct):
U1 0.071 0.354 0.250
U2 0.283 0.929 0.250
U3 0.354 0.283 0.750
U4 0.646 0.717 0.250
U5 0.717 0.071 0.750
U6 0.929 0.646 0.750
Ni1 0.333 0.667 0.750
Ni2 0.667 0.333 0.250
C1 0.063 0.391 0.750
C2 0.328 0.937 0.750
C3 0.391 0.328 0.250
C4 0.609 0.672 0.750
C5 0.672 0.063 0.250
C6 0.937 0.609 0.250

---

4.
## UNiC2 (PBE)

Data for crystalline UNiC2 at its relaxed geometry.

Values from the calculation:
**Calculated total energy**: -9.00 eV per atom
**Magnetization**: 2.50 μB/cell
**Theoretical density**: 11.9 g/cm3
**Crystal system**: tetragonal
**Formation enthalpy at 0 K**: -0.5 eV/f.u.
**Fermi-level density of states**: 8.1 states/eV/cell
**Space-group type**: P4/nmm, No. 129

a b c (Å): 3.495 3.495 7.342
angles (deg): 90.00 90.00 90.00
Positions (direct):
U1 0.250 0.250 0.179
U2 0.750 0.750 0.821
Ni1 0.250 0.750 0.500
Ni2 0.750 0.250 0.500
C1 0.250 0.250 0.664
C2 0.250 0.250 0.862
C3 0.750 0.750 0.138
C4 0.750 0.750 0.336

---

5.
## UNiC2 (PBE)

Data for crystalline UNiC2 at its relaxed geometry.

Values from the calculation:
**Calculated total energy**: -8.35 eV per atom
**Magnetization**: 0.71 μB/cell
**Theoretical density**: 8.7 g/cm3
**Crystal system**: trigonal
**Formation enthalpy at 0 K**: 2.1 eV/f.u.
**Fermi-level density of states**: 4.9 states/eV/cell
**Space-group type**: R-3m, No. 166

a b c (Å): 5.545 5.545 5.545
angles (deg): 39.26 39.26 39.26
Positions (direct):
U1 0.000 0.000 0.000
Ni1 0.500 0.500 0.500
C1 0.383 0.383 0.383
C2 0.617 0.617 0.617

---

6.
## U2NiC3 (PBE)

Data for crystalline U2NiC3 at its relaxed geometry.

Values from the calculation:
**Calculated total energy**: -9.50 eV per atom
**Magnetization**: 5.92 μB/cell
**Theoretical density**: 12.7 g/cm3
**Crystal system**: orthorhombic
**Formation enthalpy at 0 K**: -0.9 eV/f.u.
**Fermi-level density of states**: 29.0 states/eV/cell
**Space-group type**: Pnma, No. 62

a b c (Å): 6.381 3.551 13.166
angles (deg): 90.00 90.00 90.00
Positions (direct):
U1 0.126 0.250 0.210
U2 0.248 0.750 0.977
U3 0.252 0.250 0.477
U4 0.374 0.750 0.710
U5 0.626 0.250 0.290
U6 0.748 0.750 0.523
U7 0.752 0.250 0.023
U8 0.874 0.750 0.790
Ni1 0.008 0.250 0.651
Ni2 0.492 0.750 0.151
Ni3 0.508 0.250 0.849
Ni4 0.992 0.750 0.349
C1 0.021 0.250 0.902
C2 0.106 0.750 0.591
C3 0.180 0.250 0.823
C4 0.320 0.750 0.323
C5 0.394 0.250 0.091
C6 0.479 0.750 0.402
C7 0.521 0.250 0.598
C8 0.606 0.750 0.909
C9 0.680 0.250 0.677
C10 0.820 0.750 0.177
C11 0.894 0.250 0.409
C12 0.979 0.750 0.098

---

7.
## UNiC2 (PBE)

Data for crystalline UNiC2 at its relaxed geometry.

Values from the calculation:
**Calculated total energy**: -8.88 eV per atom
**Magnetization**: 2.89 μB/cell
**Theoretical density**: 11.5 g/cm3
**Crystal system**: orthorhombic
**Formation enthalpy at 0 K**: 0.0 eV/f.u.
**Fermi-level density of states**: 11.7 states/eV/cell
**Space-group type**: Cmcm, No. 63

a b c (Å): 4.941 4.941 4.804
angles (deg): 90.00 90.00 127.84
Positions (direct):
U1 0.172 0.828 0.750
U2 0.828 0.172 0.250
Ni1 0.500 0.500 0.000
Ni2 0.500 0.500 0.500
C1 0.057 0.277 0.750
C2 0.277 0.057 0.250
C3 0.723 0.943 0.750
C4 0.943 0.723 0.250

---

8.
## V2NiC (PBE)

Data for crystalline V2NiC at its relaxed geometry.

Values from the calculation:
**Calculated total energy**: -8.16 eV per atom
**Magnetization**: 0.00 μB/cell
**Theoretical density**: 6.1 g/cm3
**Crystal system**: tetragonal
**Formation enthalpy at 0 K**: 0.6 eV/f.u.
**Fermi-level density of states**: 9.4 states/eV/cell
**Space-group type**: I-42d, No. 122

a b c (Å): 5.286 5.286 5.286
angles (deg): 97.95 97.95 136.33
Positions (direct):
V1 0.001 0.125 0.376
V2 0.375 0.999 0.124
V3 0.749 0.625 0.624
V4 0.875 0.251 0.876
Ni1 0.250 0.750 0.500
Ni2 0.500 0.500 0.000
C1 0.000 0.000 0.000
C2 0.750 0.250 0.500

---

9.
## VNi2C (PBE)

Data for crystalline VNi2C at its relaxed geometry.

Values from the calculation:
**Calculated total energy**: -7.26 eV per atom
**Magnetization**: 0.00 μB/cell
**Theoretical density**: 7.0 g/cm3
**Crystal system**: tetragonal
**Formation enthalpy at 0 K**: 0.9 eV/f.u.
**Fermi-level density of states**: 6.5 states/eV/cell
**Space-group type**: I-42d, No. 122

a b c (Å): 4.978 4.978 4.978
angles (deg): 100.28 100.28 130.01
Positions (direct):
V1 0.000 0.000 0.000
V2 0.750 0.250 0.500
Ni1 0.231 0.625 0.106
Ni2 0.375 0.481 0.606
Ni3 0.519 0.125 0.894
Ni4 0.875 0.769 0.394
C1 0.250 0.750 0.500
C2 0.500 0.500 0.000

---

10.
## V4Ni2C (PBE)

Data for crystalline V4Ni2C at its relaxed geometry.

Values from the calculation:
**Calculated total energy**: -8.14 eV per atom
**Magnetization**: 0.00 μB/cell
**Theoretical density**: 6.2 g/cm3
**Energy relative to the lowest polymorph listed for this composition**: 359 meV/atom
**Crystal system**: tetragonal
**Formation enthalpy at 0 K**: 0.3 eV/f.u.
**Fermi-level density of states**: 7.7 states/eV/cell
**Space-group type**: I4/mmm, No. 139

a b c (Å): 6.471 6.471 6.471
angles (deg): 144.96 144.96 50.39
Positions (direct):
V1 0.000 0.500 0.500
V2 0.174 0.174 0.000
V3 0.500 0.000 0.500
V4 0.826 0.826 0.000
Ni1 0.367 0.367 0.000
Ni2 0.633 0.633 0.000
C1 0.000 0.000 0.000

---

11.
## V8NiC2 (PBE)

Data for crystalline V8NiC2 at its relaxed geometry.

Values from the calculation:
**Calculated total energy**: -8.98 eV per atom
**Magnetization**: 0.00 μB/cell
**Theoretical density**: 6.3 g/cm3
**Crystal system**: monoclinic
**Formation enthalpy at 0 K**: -1.6 eV/f.u.
**Fermi-level density of states**: 10.3 states/eV/cell
**Space-group type**: C2/m, No. 12

a b c (Å): 5.797 5.797 4.207
angles (deg): 97.49 97.49 110.85
Positions (direct):
V1 0.111 0.111 0.792
V2 0.163 0.425 0.405
V3 0.243 0.757 0.000
V4 0.425 0.163 0.405
V5 0.575 0.837 0.595
V6 0.757 0.243 0.000
V7 0.837 0.575 0.595
V8 0.889 0.889 0.208
Ni1 0.500 0.500 0.000
C1 0.186 0.814 0.500
C2 0.814 0.186 0.500

---

12.
## V6NiC (PBE)

Data for crystalline V6NiC at its relaxed geometry.

Values from the calculation:
**Calculated total energy**: -8.80 eV per atom
**Magnetization**: 0.00 μB/cell
**Theoretical density**: 6.3 g/cm3
**Crystal system**: triclinic
**Formation enthalpy at 0 K**: -0.7 eV/f.u.
**Fermi-level density of states**: 9.4 states/eV/cell
**Space-group type**: P-1, No. 2

a b c (Å): 4.448 4.827 4.976
angles (deg): 97.30 109.87 91.08
Positions (direct):
V1 0.056 0.292 0.140
V2 0.214 0.853 0.441
V3 0.418 0.404 0.743
V4 0.582 0.596 0.257
V5 0.786 0.147 0.559
V6 0.944 0.708 0.860
Ni1 0.500 0.000 0.000
C1 0.000 0.500 0.500

---

13.
## V4Ni2C (PBE)

Data for crystalline V4Ni2C at its relaxed geometry.

Values from the calculation:
**Calculated total energy**: -8.50 eV per atom
**Magnetization**: 0.00 μB/cell
**Theoretical density**: 6.8 g/cm3
**Energy relative to the lowest polymorph listed for this composition**: 0 meV/atom
**Crystal system**: cubic
**Formation enthalpy at 0 K**: -2.2 eV/f.u.
**Fermi-level density of states**: 38.9 states/eV/cell
**Space-group type**: Fd-3m, No. 227

a b c (Å): 7.720 7.720 7.720
angles (deg): 60.00 60.00 60.00
Positions (direct):
V1 0.000 0.000 0.000
V2 0.000 0.000 0.500
V3 0.000 0.500 0.000
V4 0.193 0.193 0.557
V5 0.193 0.557 0.193
V6 0.193 0.557 0.557
V7 0.443 0.443 0.807
V8 0.443 0.807 0.443
V9 0.443 0.807 0.807
V10 0.500 0.000 0.000
V11 0.557 0.193 0.193
V12 0.557 0.193 0.557
V13 0.557 0.557 0.193
V14 0.807 0.443 0.443
V15 0.807 0.443 0.807
V16 0.807 0.807 0.443
Ni1 0.122 0.793 0.793
Ni2 0.207 0.207 0.207
Ni3 0.207 0.207 0.878
Ni4 0.207 0.878 0.207
Ni5 0.793 0.122 0.793
Ni6 0.793 0.793 0.122
Ni7 0.793 0.793 0.793
Ni8 0.878 0.207 0.207
C1 0.000 0.500 0.500
C2 0.500 0.000 0.500
C3 0.500 0.500 0.000
C4 0.500 0.500 0.500

---

14.
## VNiC2 (PBE)

Data for crystalline VNiC2 at its relaxed geometry.

Values from the calculation:
**Calculated total energy**: -7.44 eV per atom
**Magnetization**: 0.00 μB/cell
**Theoretical density**: 6.6 g/cm3
**Energy relative to the lowest polymorph listed for this composition**: 303 meV/atom
**Crystal system**: cubic
**Formation enthalpy at 0 K**: 3.6 eV/f.u.
**Fermi-level density of states**: 2.3 states/eV/cell
**Space-group type**: Fm-3m, No. 225

a b c (Å): 3.616 3.616 3.616
angles (deg): 60.00 60.00 60.00
Positions (direct):
V1 0.000 0.000 0.000
Ni1 0.500 0.500 0.500
C1 0.250 0.250 0.250
C2 0.750 0.750 0.750

---

15.
## V2NiC (PBE)

Data for crystalline V2NiC at its relaxed geometry.

Values from the calculation:
**Calculated total energy**: -8.25 eV per atom
**Magnetization**: 0.00 μB/cell
**Theoretical density**: 6.0 g/cm3
**Crystal system**: trigonal
**Formation enthalpy at 0 K**: 0.2 eV/f.u.
**Fermi-level density of states**: 4.3 states/eV/cell
**Space-group type**: R-3m, No. 166

a b c (Å): 7.137 7.137 7.137
angles (deg): 22.83 22.83 22.83
Positions (direct):
V1 0.112 0.112 0.112
V2 0.888 0.888 0.888
Ni1 0.000 0.000 0.000
C1 0.500 0.500 0.500

---

16.
## VNiC2 (PBE)

Data for crystalline VNiC2 at its relaxed geometry.

Values from the calculation:
**Calculated total energy**: -7.74 eV per atom
**Magnetization**: 0.00 μB/cell
**Theoretical density**: 5.1 g/cm3
**Energy relative to the lowest polymorph listed for this composition**: 0 meV/atom
**Crystal system**: tetragonal
**Formation enthalpy at 0 K**: 2.4 eV/f.u.
**Fermi-level density of states**: 6.1 states/eV/cell
**Space-group type**: I-42d, No. 122

a b c (Å): 5.427 5.427 5.427
angles (deg): 131.81 131.81 70.53
Positions (direct):
V1 0.000 0.000 0.000
V2 0.750 0.250 0.500
Ni1 0.250 0.750 0.500
Ni2 0.500 0.500 0.000
C1 0.133 0.625 0.008
C2 0.375 0.383 0.508
C3 0.617 0.125 0.992
C4 0.875 0.867 0.492

---

17.
## V5NiC (PBE)

Data for crystalline V5NiC at its relaxed geometry.

Values from the calculation:
**Calculated total energy**: -8.73 eV per atom
**Magnetization**: 0.00 μB/cell
**Theoretical density**: 6.3 g/cm3
**Crystal system**: monoclinic
**Formation enthalpy at 0 K**: -0.5 eV/f.u.
**Fermi-level density of states**: 18.4 states/eV/cell
**Space-group type**: C2/c, No. 15

a b c (Å): 5.064 5.064 8.336
angles (deg): 111.14 111.14 62.83
Positions (direct):
V1 0.018 0.982 0.750
V2 0.025 0.400 0.615
V3 0.183 0.543 0.944
V4 0.400 0.025 0.115
V5 0.457 0.817 0.556
V6 0.543 0.183 0.444
V7 0.600 0.975 0.885
V8 0.817 0.457 0.056
V9 0.975 0.600 0.385
V10 0.982 0.018 0.250
Ni1 0.480 0.520 0.250
Ni2 0.520 0.480 0.750
C1 0.000 0.000 0.000
C2 0.000 0.000 0.500

---

18.
## V3Ni2C (PBE)

Data for crystalline V3Ni2C at its relaxed geometry.

Values from the calculation:
**Calculated total energy**: -8.28 eV per atom
**Magnetization**: 0.00 μB/cell
**Theoretical density**: 7.0 g/cm3
**Crystal system**: cubic
**Formation enthalpy at 0 K**: -1.6 eV/f.u.
**Fermi-level density of states**: 27.0 states/eV/cell
**Space-group type**: P4_132, No. 213

a b c (Å): 6.455 6.455 6.455
angles (deg): 90.00 90.00 90.00
Positions (direct):
V1 0.050 0.125 0.800
V2 0.125 0.800 0.050
V3 0.200 0.550 0.375
V4 0.300 0.450 0.875
V5 0.375 0.200 0.550
V6 0.450 0.875 0.300
V7 0.550 0.375 0.200
V8 0.625 0.700 0.950
V9 0.700 0.950 0.625
V10 0.800 0.050 0.125
V11 0.875 0.300 0.450
V12 0.950 0.625 0.700
Ni1 0.068 0.932 0.432
Ni2 0.182 0.182 0.182
Ni3 0.318 0.818 0.682
Ni4 0.432 0.068 0.932
Ni5 0.568 0.568 0.568
Ni6 0.682 0.318 0.818
Ni7 0.818 0.682 0.318
Ni8 0.932 0.432 0.068
C1 0.125 0.375 0.625
C2 0.375 0.625 0.125
C3 0.625 0.125 0.375
C4 0.875 0.875 0.875

---

19.
## VZnNi2C (PBE)

Data for crystalline VZnNi2C at its relaxed geometry.

Values from the calculation:
**Calculated total energy**: -6.26 eV per atom
**Magnetization**: 1.73 μB/cell
**Theoretical density**: 7.1 g/cm3
**Crystal system**: tetragonal
**Formation enthalpy at 0 K**: -0.1 eV/f.u.
**Fermi-level density of states**: 5.7 states/eV/cell
**Space-group type**: P4/mmm, No. 123

a b c (Å): 3.804 3.804 3.961
angles (deg): 90.00 90.00 90.00
Positions (direct):
V1 0.000 0.000 0.000
Zn1 0.500 0.500 0.000
Ni1 0.000 0.500 0.500
Ni2 0.500 0.000 0.500
C1 0.000 0.000 0.500

---

20.
## Ni2W4C (PBE)

Data for crystalline Ni2W4C at its relaxed geometry.

Values from the calculation:
**Calculated total energy**: -10.47 eV per atom
**Magnetization**: 0.00 μB/cell
**Theoretical density**: 15.8 g/cm3
**Crystal system**: cubic
**Formation enthalpy at 0 K**: -0.7 eV/f.u.
**Fermi-level density of states**: 15.2 states/eV/cell
**Space-group type**: Fd-3m, No. 227

a b c (Å): 8.010 8.010 8.010
angles (deg): 60.00 60.00 60.00
Positions (direct):
Ni1 0.125 0.792 0.792
Ni2 0.208 0.208 0.208
Ni3 0.208 0.208 0.875
Ni4 0.208 0.875 0.208
Ni5 0.792 0.125 0.792
Ni6 0.792 0.792 0.125
Ni7 0.792 0.792 0.792
Ni8 0.875 0.208 0.208
W1 0.000 0.000 0.000
W2 0.000 0.000 0.500
W3 0.000 0.500 0.000
W4 0.184 0.184 0.566
W5 0.184 0.566 0.184
W6 0.184 0.566 0.566
W7 0.434 0.434 0.816
W8 0.434 0.816 0.434
W9 0.434 0.816 0.816
W10 0.500 0.000 0.000
W11 0.566 0.184 0.184
W12 0.566 0.184 0.566
W13 0.566 0.566 0.184
W14 0.816 0.434 0.434
W15 0.816 0.434 0.816
W16 0.816 0.816 0.434
C1 0.000 0.500 0.500
C2 0.500 0.000 0.500
C3 0.500 0.500 0.000
C4 0.500 0.500 0.500